No. 1
First-principles (PBE-GGA) data for a relaxed TmBr2F crystal, as listed in Alexandria.

## Properties
Total magnetization ... 0.0 μB/cell
Total energy ... -20.3 eV for the cell shown
Volume ... 31.59 A^3/atom
E_form (uncorrected) ... -2.6434 eV/atom

```
4
Lattice="3.925 0.000 -0.998 -0.293 4.113 -1.151 -0.089 -0.036 7.861" Properties=species:S:1:pos:R:3 pbc="T T T"
Tm 1.871 0.001 7.351
Br 0.452 0.569 1.774
Br 3.088 3.581 3.916
F 1.813 2.093 -1.084
```

No. 2
First-principles (PBE-GGA) data for a relaxed TmBr2F crystal, as listed in Alexandria.

## Properties
Total magnetization ... 0.0 μB/cell
Total energy ... -40.1 eV for the cell shown
Volume ... 25.83 A^3/atom
E_form (uncorrected) ... -2.5914 eV/atom

```
8
Lattice="-1.717 -0.707 -3.465 -1.913 -0.802 3.341 -5.925 14.251 0.029" Properties=species:S:1:pos:R:3 pbc="T T T"
Tm -7.109 9.581 -0.662
Tm -2.445 3.161 0.567
Br -4.588 8.539 0.531
Br -4.967 4.203 -0.626
Br -6.068 12.100 0.539
Br -3.487 0.642 -0.633
F -2.380 3.192 -1.701
F -7.175 9.550 1.607
```

DOS(E_F) values, unit states/eV/f.u., following the record order: 0.00, 0.00.
Relative energy among the computed polymorphs values, unit eV per formula unit, following the record order: 0.00, 0.21.